No. 1
DFT (GGA-PBE) results for a relaxed structure of Cs2La2I7.

Computed properties:
uncorrected energy	-3.455	eV/atom
ρ	3.2	g/cm³
offset from the most stable computed form	0.000	eV per atom
formation energy (no corrections)	-32.70	kcal/mol of atoms

```
data_Cs2La2I7
_cell_length_a 9.742
_cell_length_b 17.504
_cell_length_c 9.049
_cell_angle_alpha 90.00
_cell_angle_beta 102.43
_cell_angle_gamma 90.00
_symmetry_space_group_name_H-M 'C 1 2/m 1'
_symmetry_Int_Tables_number 12
loop_
_symmetry_equiv_pos_as_xyz
'x,y,z'
'-x,-y,-z'
'-x,y,-z'
'x,-y,z'
'x+1/2,y+1/2,z'
'-x+1/2,-y+1/2,-z'
'-x+1/2,y+1/2,-z'
'x+1/2,-y+1/2,z'
loop_
_atom_site_label
_atom_site_fract_x
_atom_site_fract_y
_atom_site_fract_z
_atom_site_occupancy
Cs1 0.000 0.188 0.000 1
La1 0.204 0.000 0.603 1
I1 0.000 0.500 0.500 1
I2 0.072 0.000 0.251 1
I3 0.225 0.342 0.244 1
```

---

No. 2
DFT (GGA-PBE) results for a relaxed structure of CsLa3I.

Computed properties:
uncorrected energy	-2.634	eV/atom
density of states at the Fermi level	1.34	states/eV per atom
ρ	5.2	g/cm³
offset from the most stable computed form	0.675	eV per atom
formation energy (no corrections)	18.52	kcal/mol of atoms

```
data_CsLa3I
_cell_length_a 5.983
_cell_length_b 5.983
_cell_length_c 5.983
_cell_angle_alpha 90.00
_cell_angle_beta 90.00
_cell_angle_gamma 90.00
_symmetry_space_group_name_H-M 'P m -3 m'
_symmetry_Int_Tables_number 221
_symmetry_space_group_name_Hall '-P 4 2 3'
loop_
_atom_site_label
_atom_site_fract_x
_atom_site_fract_y
_atom_site_fract_z
_atom_site_occupancy
Cs1 0.000 0.000 0.000 1
La1 0.000 0.000 0.500 1
I1 0.500 0.500 0.500 1
```

---

No. 3
DFT (GGA-PBE) results for a relaxed structure of CsLaI2.

Computed properties:
uncorrected energy	-3.325	eV/atom
density of states at the Fermi level	0.53	states/eV per atom
ρ	5.8	g/cm³
offset from the most stable computed form	0.022	eV per atom
formation energy (no corrections)	-25.49	kcal/mol of atoms

```
data_CsLaI2
_cell_length_a 4.090
_cell_length_b 4.090
_cell_length_c 9.055
_cell_angle_alpha 90.00
_cell_angle_beta 90.00
_cell_angle_gamma 90.00
_symmetry_space_group_name_H-M 'P 4/m m m'
_symmetry_Int_Tables_number 123
_symmetry_space_group_name_Hall '-P 4 2'
loop_
_atom_site_label
_atom_site_fract_x
_atom_site_fract_y
_atom_site_fract_z
_atom_site_occupancy
Cs1 0.000 0.000 0.000 1
La1 0.000 0.000 0.500 1
I1 0.500 0.500 0.293 1
```

---

No. 4
DFT (GGA-PBE) results for a relaxed structure of Cs3LaI6.

Computed properties:
uncorrected energy	-3.247	eV/atom
density of states at the Fermi level	0.00	states/eV per atom
ρ	4.1	g/cm³
offset from the most stable computed form	0.000	eV per atom
formation energy (no corrections)	-36.17	kcal/mol of atoms

```
data_Cs3LaI6
_cell_length_a 10.830
_cell_length_b 10.830
_cell_length_c 8.982
_cell_angle_alpha 90.00
_cell_angle_beta 90.00
_cell_angle_gamma 90.00
_symmetry_space_group_name_H-M 'P 42/m'
_symmetry_Int_Tables_number 84
loop_
_symmetry_equiv_pos_as_xyz
'x,y,z'
'-x,-y,-z'
'-y,x,z+1/2'
'y,-x,-z+1/2'
'-x,-y,z'
'x,y,-z'
'y,-x,z+1/2'
'-y,x,-z+1/2'
loop_
_atom_site_label
_atom_site_fract_x
_atom_site_fract_y
_atom_site_fract_z
_atom_site_occupancy
Cs1 0.000 0.000 0.000 1
Cs2 0.232 0.581 0.000 1
La1 0.000 0.500 0.500 1
I1 0.056 0.300 0.250 1
I2 0.285 0.566 0.500 1
```

---

No. 5
DFT (GGA-PBE) results for a relaxed structure of Cs2Li2LaI6.

Computed properties:
uncorrected energy	-3.085	eV/atom
density of states at the Fermi level	0.47	states/eV per atom
ρ	3.7	g/cm³
formation energy (no corrections)	-29.71	kcal/mol of atoms

```
data_Cs2Li2LaI6
_cell_length_a 14.535
_cell_length_b 8.862
_cell_length_c 9.080
_cell_angle_alpha 90.00
_cell_angle_beta 113.39
_cell_angle_gamma 90.00
_symmetry_space_group_name_H-M 'C 1 2/m 1'
_symmetry_Int_Tables_number 12
loop_
_symmetry_equiv_pos_as_xyz
'x,y,z'
'-x,-y,-z'
'-x,y,-z'
'x,-y,z'
'x+1/2,y+1/2,z'
'-x+1/2,-y+1/2,-z'
'-x+1/2,y+1/2,-z'
'x+1/2,-y+1/2,z'
loop_
_atom_site_label
_atom_site_fract_x
_atom_site_fract_y
_atom_site_fract_z
_atom_site_occupancy
Cs1 0.199 0.000 0.181 1
Li1 0.059 0.500 0.265 1
La1 0.000 0.000 0.500 1
I1 0.053 0.250 0.789 1
I2 0.244 0.000 0.627 1
```

---

No. 6
DFT (GGA-PBE) results for a relaxed structure of CsLiLaI5.

Computed properties:
uncorrected energy	-3.377	eV/atom
density of states at the Fermi level	0.00	states/eV per atom
ρ	3.7	g/cm³
formation energy (no corrections)	-33.35	kcal/mol of atoms

```
data_CsLiLaI5
_cell_length_a 10.541
_cell_length_b 14.200
_cell_length_c 11.977
_cell_angle_alpha 90.00
_cell_angle_beta 113.36
_cell_angle_gamma 90.00
_symmetry_space_group_name_H-M 'C 1 2/c 1'
_symmetry_Int_Tables_number 15
loop_
_symmetry_equiv_pos_as_xyz
'x,y,z'
'-x,-y,-z'
'-x,y,-z+1/2'
'x,-y,z+1/2'
'x+1/2,y+1/2,z'
'-x+1/2,-y+1/2,-z'
'-x+1/2,y+1/2,-z+1/2'
'x+1/2,-y+1/2,z+1/2'
loop_
_atom_site_label
_atom_site_fract_x
_atom_site_fract_y
_atom_site_fract_z
_atom_site_occupancy
Cs1 0.000 0.152 0.250 1
Li1 0.000 0.191 0.750 1
La1 0.000 0.500 0.000 1
I1 0.000 0.423 0.250 1
I2 0.104 0.296 0.606 1
I3 0.192 0.070 0.925 1
```